# 1
Density functional theory data (PBE) for an optimized crystal structure of PmErCuSi.

Values from the calculation:
As for the energy above the most stable polymorph in this dataset: 0.00 eV per formula unit.

```
data_PmErCuSi
_cell_length_a 4.080
_cell_length_b 4.074
_cell_length_c 10.941
_cell_angle_alpha 90.00
_cell_angle_beta 90.00
_cell_angle_gamma 90.00
_space_group_name_H-M_alt 'A m m 2'
_space_group_IT_number 38
loop_
_space_group_symop_operation_xyz
'x,y,z'
'-x,-y,z'
'-x,y,z'
'x,-y,z'
'x,y+1/2,z+1/2'
'-x,-y+1/2,z+1/2'
'-x,y+1/2,z+1/2'
'x,-y+1/2,z+1/2'
loop_
_atom_site_label
_atom_site_type_symbol
_atom_site_fract_x
_atom_site_fract_y
_atom_site_fract_z
Pm1 Pm 0.000 0.000 0.000
Er1 Er 0.500 0.000 0.720
Cu1 Cu 0.500 0.000 0.417
Si1 Si 0.000 0.000 0.283
```



# 2
Density functional theory data (PBE) for an optimized crystal structure of KCd6.

Values from the calculation:
For the calculated formation energy, the calculation gives -0.06 eV/atom. As for the energy above the most stable polymorph in this dataset: 0.00 eV per formula unit.

```
data_KCd6
_cell_length_a 9.416
_cell_length_b 6.252
_cell_length_c 12.271
_cell_angle_alpha 90.00
_cell_angle_beta 90.00
_cell_angle_gamma 90.00
_space_group_name_H-M_alt 'P n m a'
_space_group_IT_number 62
loop_
_space_group_symop_operation_xyz
'x,y,z'
'-x,-y,-z'
'-x+1/2,-y,z+1/2'
'x+1/2,y,-z+1/2'
'x+1/2,-y+1/2,-z+1/2'
'-x+1/2,y+1/2,z+1/2'
'-x,y+1/2,-z'
'x,-y+1/2,z'
loop_
_atom_site_label
_atom_site_type_symbol
_atom_site_fract_x
_atom_site_fract_y
_atom_site_fract_z
K1 K 0.241 0.250 0.061
Cd1 Cd 0.065 0.014 0.311
Cd2 Cd 0.075 0.750 0.090
Cd3 Cd 0.100 0.250 0.522
Cd4 Cd 0.134 0.750 0.856
Cd5 Cd 0.184 0.250 0.763
```